# 1
The following is a DFT calculation (GGA-PBE) of Mn4CdSi after structural relaxation.

abc: 4.799 4.799 4.799
angles: 60.00 60.00 60.00
Element x y z (fractional)
Mn 0.124 0.124 0.124
Mn 0.124 0.124 0.627
Mn 0.124 0.627 0.124
Mn 0.627 0.124 0.124
Cd 0.500 0.500 0.500
Si 0.750 0.750 0.750

Results
E_form (uncorrected) ... 38 kJ per mole of atoms
VASP energy ... -40.658 eV/f.u.



# 2
The following is a DFT calculation (GGA-PBE) of Ac4SmAg5 after structural relaxation.

abc: 3.897 3.897 19.726
angles: 90.00 90.00 90.00
Element x y z (fractional)
Ac 0.000 0.000 0.102
Ac 0.000 0.000 0.307
Ac 0.000 0.000 0.693
Ac 0.000 0.000 0.898
Sm 0.000 0.000 0.500
Ag 0.500 0.500 0.000
Ag 0.500 0.500 0.205
Ag 0.500 0.500 0.416
Ag 0.500 0.500 0.584
Ag 0.500 0.500 0.795

Results
VASP energy ... -38.002 eV/f.u.
Energy of formation from the pure elements ... -0.26 eV per atom



# 3
The following is a DFT calculation (GGA-PBE) of TaTlRh after structural relaxation.

abc: 4.438 4.438 4.438
angles: 60.00 60.00 60.00
Element x y z (fractional)
Ta 0.000 0.000 0.000
Tl 0.500 0.500 0.500
Rh 0.750 0.750 0.750

Results
VASP energy ... -20.950 eV/f.u.
Energy of formation from the pure elements ... 0.21 eV per atom



# 4
The following is a DFT calculation (GGA-PBE) of Hf4NiSb after structural relaxation.

abc: 7.326 7.326 7.326
angles: 125.64 125.64 80.47
Element x y z (fractional)
Hf 0.011 0.511 0.814
Hf 0.197 0.011 0.500
Hf 0.303 0.803 0.814
Hf 0.489 0.303 0.500
Hf 0.511 0.697 0.500
Hf 0.697 0.197 0.186
Hf 0.803 0.989 0.500
Hf 0.989 0.489 0.186
Ni 0.250 0.250 0.000
Ni 0.750 0.750 0.000
Sb 0.000 0.000 0.000
Sb 0.500 0.500 0.000

Results
E_form (uncorrected) ... -25 kJ per mole of atoms
VASP energy ... -51.290 eV/f.u.



# 5
The following is a DFT calculation (GGA-PBE) of ZnAgIr2 after structural relaxation.

abc: 2.733 2.733 9.221
angles: 90.00 90.00 117.41
Element x y z (fractional)
Zn 0.000 0.000 0.000
Ag 0.000 0.000 0.500
Ir 0.500 0.500 0.233
Ir 0.500 0.500 0.767

Results
VASP energy ... -21.211 eV/f.u.
Energy of formation from the pure elements ... 0.16 eV per atom



# 6
The following is a DFT calculation (GGA-PBE) of MnOsSe after structural relaxation.

abc: 2.769 2.806 6.147
angles: 90.00 102.73 90.00
Element x y z (fractional)
Mn 0.000 0.000 0.000
Os 0.379 0.500 0.752
Se 0.170 0.500 0.333

Results
E_form (uncorrected) ... 32 kJ per mole of atoms
VASP energy ... -22.877 eV/f.u.



# 7
The following is a DFT calculation (GGA-PBE) of Er2ZrCo after structural relaxation.

abc: 3.348 3.348 7.991
angles: 90.00 90.00 90.00
Element x y z (fractional)
Er 0.000 0.000 0.202
Er 0.000 0.000 0.798
Zr 0.500 0.500 0.500
Co 0.500 0.500 0.000

Results
VASP energy ... -24.904 eV/f.u.
Energy of formation from the pure elements ... -0.03 eV per atom



# 8
The following is a DFT calculation (GGA-PBE) of LiTm6S8 after structural relaxation.

abc: 7.618 7.618 7.618
angles: 98.49 98.49 98.49
Element x y z (fractional)
Li 0.000 0.000 0.000
Tm 0.185 0.369 0.544
Tm 0.369 0.544 0.185
Tm 0.456 0.815 0.631
Tm 0.544 0.185 0.369
Tm 0.631 0.456 0.815
Tm 0.815 0.631 0.456
S 0.148 0.671 0.397
S 0.213 0.213 0.213
S 0.329 0.603 0.852
S 0.397 0.148 0.671
S 0.603 0.852 0.329
S 0.671 0.397 0.148
S 0.787 0.787 0.787
S 0.852 0.329 0.603

Results
E_form (uncorrected) ... -171 kJ per mole of atoms
VASP energy ... -88.376 eV/f.u.



# 9
The following is a DFT calculation (GGA-PBE) of CaHoCu2Si2 after structural relaxation.

abc: 4.098 4.098 7.975
angles: 90.00 90.00 120.00
Element x y z (fractional)
Ca 0.000 0.000 0.000
Ho 0.000 0.000 0.500
Cu 0.333 0.667 0.739
Cu 0.667 0.333 0.261
Si 0.333 0.667 0.264
Si 0.667 0.333 0.736

Results
E_form (uncorrected) ... -52 kJ per mole of atoms
VASP energy ... -28.860 eV/f.u.



# 10
The following is a DFT calculation (GGA-PBE) of Nd4Cd5Pt6 after structural relaxation.

abc: 11.204 11.204 15.029
angles: 90.00 90.00 158.68
Element x y z (fractional)
Nd 0.019 0.981 0.500
Nd 0.055 0.945 0.765
Nd 0.133 0.867 0.281
Nd 0.178 0.822 0.938
Nd 0.822 0.178 0.438
Nd 0.867 0.133 0.781
Nd 0.945 0.055 0.265
Nd 0.981 0.019 0.000
Cd 0.179 0.821 0.604
Cd 0.311 0.689 0.613
Cd 0.317 0.683 0.259
Cd 0.353 0.647 0.956
Cd 0.463 0.537 0.659
Cd 0.537 0.463 0.159
Cd 0.647 0.353 0.456
Cd 0.683 0.317 0.759
Cd 0.689 0.311 0.113
Cd 0.821 0.179 0.104
Pt 0.102 0.898 0.091
Pt 0.230 0.770 0.428
Pt 0.267 0.733 0.789
Pt 0.412 0.588 0.122
Pt 0.421 0.579 0.414
Pt 0.460 0.540 0.850
Pt 0.540 0.460 0.350
Pt 0.579 0.421 0.914
Pt 0.588 0.412 0.622
Pt 0.733 0.267 0.289
Pt 0.770 0.230 0.928
Pt 0.898 0.102 0.591

Results
VASP energy ... -70.639 eV/f.u.
Energy of formation from the pure elements ... -0.72 eV per atom



# 11
The following is a DFT calculation (GGA-PBE) of BeTeAsI2 after structural relaxation.

abc: 5.029 5.029 5.336
angles: 90.00 90.00 90.00
Element x y z (fractional)
Be 0.000 0.000 0.000
Te 0.000 0.000 0.500
As 0.500 0.500 0.500
I 0.000 0.500 0.000
I 0.500 0.000 0.000

Results
E_form (uncorrected) ... 50 kJ per mole of atoms
VASP energy ... -12.032 eV/f.u.



# 12
The following is a DFT calculation (GGA-PBE) of Li2TlRh after structural relaxation.

abc: 9.278 9.278 9.278
angles: 18.65 18.65 18.65
Element x y z (fractional)
Li 0.000 0.000 0.000
Li 0.193 0.193 0.193
Tl 0.763 0.763 0.763
Rh 0.597 0.597 0.597

Results
VASP energy ... -13.437 eV/f.u.
Energy of formation from the pure elements ... 0.03 eV per atom



# 13
The following is a DFT calculation (GGA-PBE) of HgTeC3 after structural relaxation.

abc: 4.263 4.263 4.263
angles: 90.00 90.00 90.00
Element x y z (fractional)
Hg 0.000 0.000 0.000
Te 0.500 0.500 0.500
C 0.000 0.500 0.500
C 0.500 0.000 0.500
C 0.500 0.500 0.000

Results
E_form (uncorrected) ... 286 kJ per mole of atoms
VASP energy ... -16.285 eV/f.u.



# 14
The following is a DFT calculation (GGA-PBE) of CsMgTa after structural relaxation.

abc: 4.656 4.657 13.387
angles: 88.75 88.97 60.01
Element x y z (fractional)
Cs 0.175 0.182 0.184
Cs 0.825 0.818 0.816
Mg 0.497 0.495 0.605
Mg 0.503 0.505 0.395
Ta 0.167 0.167 0.500
Ta 0.833 0.833 0.500

Results
VASP energy ... -12.605 eV/f.u.
Energy of formation from the pure elements ... 0.57 eV per atom



# 15
The following is a DFT calculation (GGA-PBE) of AcInGePd3 after structural relaxation.

abc: 6.877 6.877 7.396
angles: 90.00 90.00 129.59
Element x y z (fractional)
Ac 0.186 0.814 0.750
Ac 0.814 0.186 0.250
In 0.131 0.869 0.250
In 0.869 0.131 0.750
Ge 0.443 0.557 0.750
Ge 0.557 0.443 0.250
Pd 0.244 0.244 0.000
Pd 0.244 0.244 0.500
Pd 0.348 0.652 0.250
Pd 0.652 0.348 0.750
Pd 0.756 0.756 0.000
Pd 0.756 0.756 0.500

Results
VASP energy ... -30.612 eV/f.u.
Energy of formation from the pure elements ... -0.59 eV per atom



# 16
The following is a DFT calculation (GGA-PBE) of V2CuAu2 after structural relaxation.

abc: 7.737 7.737 2.738
angles: 90.00 90.00 90.00
Element x y z (fractional)
V 0.105 0.395 0.000
V 0.395 0.895 0.000
V 0.605 0.105 0.000
V 0.895 0.605 0.000
Cu 0.000 0.000 0.000
Cu 0.500 0.500 0.000
Au 0.187 0.687 0.500
Au 0.313 0.187 0.500
Au 0.687 0.813 0.500
Au 0.813 0.313 0.500

Results
VASP energy ... -27.272 eV/f.u.
Energy of formation from the pure elements ... 0.32 eV per atom



# 17
The following is a DFT calculation (GGA-PBE) of Tb3YHo2Tm6 after structural relaxation.

abc: 6.095 6.095 11.645
angles: 95.00 95.00 119.94
Element x y z (fractional)
Tb 0.000 0.000 0.000
Tb 0.333 0.667 0.000
Tb 0.667 0.333 0.000
Y 0.500 0.500 0.500
Ho 0.167 0.833 0.500
Ho 0.833 0.167 0.500
Tm 0.082 0.416 0.250
Tm 0.249 0.249 0.750
Tm 0.416 0.082 0.250
Tm 0.584 0.918 0.750
Tm 0.751 0.751 0.250
Tm 0.918 0.584 0.750

Results
VASP energy ... -56.059 eV/f.u.
Energy of formation from the pure elements ... 0.02 eV per atom



# 18
The following is a DFT calculation (GGA-PBE) of ZnSn2P after structural relaxation.

abc: 4.983 4.983 4.983
angles: 60.00 60.00 60.00
Element x y z (fractional)
Zn 0.000 0.000 0.000
Sn 0.250 0.250 0.250
Sn 0.750 0.750 0.750
P 0.500 0.500 0.500

Results
VASP energy ... -13.535 eV/f.u.
Energy of formation from the pure elements ... 0.29 eV per atom



# 19
The following is a DFT calculation (GGA-PBE) of Ba2ZnCoSe after structural relaxation.

abc: 5.703 5.703 4.588
angles: 90.00 90.00 90.00
Element x y z (fractional)
Ba 0.000 0.500 0.000
Ba 0.500 0.000 0.000
Zn 0.000 0.000 0.500
Co 0.000 0.000 0.000
Se 0.500 0.500 0.500

Results
E_form (uncorrected) ... -46 kJ per mole of atoms
VASP energy ... -18.100 eV/f.u.



# 20
The following is a DFT calculation (GGA-PBE) of MnZnNiIr after structural relaxation.

abc: 4.207 4.207 4.207
angles: 60.00 60.00 60.00
Element x y z (fractional)
Mn 0.000 0.000 0.000
Zn 0.500 0.500 0.500
Ni 0.750 0.750 0.750
Ir 0.250 0.250 0.250

Results
VASP energy ... -25.743 eV/f.u.
Energy of formation from the pure elements ... -0.16 eV per atom



# 21
The following is a DFT calculation (GGA-PBE) of LaCoI2 after structural relaxation.

abc: 7.420 7.420 7.420
angles: 125.69 125.69 80.40
Element x y z (fractional)
La 0.000 0.000 0.000
La 0.750 0.250 0.500
Co 0.250 0.750 0.500
Co 0.500 0.500 0.000
I 0.206 0.625 0.081
I 0.375 0.456 0.581
I 0.544 0.125 0.919
I 0.875 0.794 0.419

Results
E_form (uncorrected) ... -12 kJ per mole of atoms
VASP energy ... -15.638 eV/f.u.



# 22
The following is a DFT calculation (GGA-PBE) of Rb4Ac3PuS8 after structural relaxation.

abc: 9.235 9.235 9.235
angles: 56.87 56.87 56.87
Element x y z (fractional)
Rb 0.000 0.000 0.000
Rb 0.000 0.500 0.500
Rb 0.500 0.000 0.500
Rb 0.500 0.500 0.000
Ac 0.000 0.000 0.500
Ac 0.000 0.500 0.000
Ac 0.500 0.000 0.000
Pu 0.500 0.500 0.500
S 0.235 0.235 0.235
S 0.246 0.726 0.726
S 0.274 0.274 0.754
S 0.274 0.754 0.274
S 0.726 0.246 0.726
S 0.726 0.726 0.246
S 0.754 0.274 0.274
S 0.765 0.765 0.765

Results
E_form (uncorrected) ... -171 kJ per mole of atoms
VASP energy ... -91.943 eV/f.u.



# 23
The following is a DFT calculation (GGA-PBE) of CaBiH after structural relaxation.

abc: 3.648 3.648 5.789
angles: 90.00 90.00 120.00
Element x y z (fractional)
Ca 0.000 0.000 0.000
Bi 0.667 0.333 0.500
H 0.333 0.667 0.999

Results
VASP energy ... -10.623 eV/f.u.



# 24
The following is a DFT calculation (GGA-PBE) of Sc2TaIn2 after structural relaxation.

abc: 7.926 7.926 3.469
angles: 90.00 90.00 90.00
Element x y z (fractional)
Sc 0.174 0.326 0.000
Sc 0.326 0.826 0.000
Sc 0.674 0.174 0.000
Sc 0.826 0.674 0.000
Ta 0.000 0.000 0.500
Ta 0.500 0.500 0.500
In 0.130 0.630 0.500
In 0.370 0.130 0.500
In 0.630 0.870 0.500
In 0.870 0.370 0.500

Results
VASP energy ... -29.910 eV/f.u.
Energy of formation from the pure elements ... 0.02 eV per atom